First-principles (PBE) data for crystalline TmPaPt2 at its relaxed geometry, as listed in the Alexandria database.

energy above the most stable polymorph in this dataset: 158 meV per atom

Lattice parameters (Å, degrees): 3.391 3.391 7.300 90.00 90.00 90.00
Positions (direct):
Tm 0.500 0.500 0.000
Pa 0.500 0.500 0.500
Pt 0.000 0.000 0.759
Pt 0.000 0.000 0.241